1.
The following is a PBE-GGA calculation of crystalline LaZrFe at its relaxed geometry, from Alexandria via LeMat-Bulk.

Cell and atoms, written as POSCAR:
```
LaZrFe
1.0
4.149 0.000 0.000
-2.074 3.593 0.000
0.000 0.000 4.806
Fe La Zr
1 1 1
Direct
0.000 0.000 0.933
0.333 0.667 0.282
0.667 0.333 0.785
```

## Properties
total magnetic moment	0.000	μB/atom
space-group type	P3m1, No. 156
relative energy among the computed polymorphs	0.153	eV per atom
DFT formation energy	0.28	eV/atom

2.
The following is a PBE-GGA calculation of crystalline La2ZrFe at its relaxed geometry, from Alexandria via LeMat-Bulk.

Cell and atoms, written as POSCAR:
```
La2ZrFe
1.0
-0.862 -0.241 -6.015
1.991 -5.019 -2.796
-3.749 2.226 4.238
Fe La Zr
1 2 1
Direct
0.250 0.750 0.500
0.057 0.057 0.000
0.443 0.443 0.000
0.750 0.250 0.500
```

## Properties
total magnetic moment	0.000	μB/atom
space-group type	Immm, No. 71
relative energy among the computed polymorphs	0.170	eV per atom
DFT formation energy	0.28	eV/atom

3.
The following is a PBE-GGA calculation of crystalline LaZr2Fe at its relaxed geometry, from Alexandria via LeMat-Bulk.

Cell and atoms, written as POSCAR:
```
LaZr2Fe
1.0
-5.814 -1.734 0.693
-4.607 -3.627 -1.706
-0.782 -4.280 2.984
Fe La Zr
1 1 2
Direct
0.250 0.250 0.250
0.750 0.750 0.750
0.947 0.947 0.052
0.553 0.553 0.448
```

## Properties
total magnetic moment	0.001	μB/atom
space-group type	C2/m, No. 12
relative energy among the computed polymorphs	0.082	eV per atom
DFT formation energy	0.13	eV/atom

4.
The following is a PBE-GGA calculation of crystalline LaZr2Fe at its relaxed geometry, from Alexandria via LeMat-Bulk.

Cell and atoms, written as POSCAR:
```
LaZr2Fe
1.0
0.000 3.471 3.471
3.471 0.000 3.471
3.471 3.471 0.000
Fe Zr La
1 2 1
Direct
0.000 0.000 0.000
0.250 0.250 0.250
0.750 0.750 0.750
0.500 0.500 0.500
```

## Properties
total magnetic moment	0.186	μB/atom
space-group type	Fm-3m, No. 225
relative energy among the computed polymorphs	0.292	eV per atom
DFT formation energy	0.34	eV/atom